No. 1
# RbSmSe2

An optimized crystal structure of RbSmSe2 (GGA-PBEsol, Alexandria).

formation energy from raw total energies: -1.727 eV per atom
DOS(E_F): 0.00 states/eV per cell
total magnetization: 0.0 μB/cell
energy: -5.18 eV per atom

```
data_RbSmSe2
_chemical_formula_sum 'Rb3 Sm3 Se6'
_space_group_name_H-M_alt 'R -3 m'
_space_group_IT_number 166
_space_group_name_Hall '-R 3 2"'
_cell_length_a 4.2508
_cell_length_b 4.2508
_cell_length_c 23.6301
_cell_angle_alpha 90.00
_cell_angle_beta 90.00
_cell_angle_gamma 120.00
loop_
_atom_site_label
_atom_site_type_symbol
_atom_site_fract_x
_atom_site_fract_y
_atom_site_fract_z
_atom_site_occupancy
Rb1 Rb 0.0000 0.0000 0.0000 1
Sm1 Sm 0.0000 0.0000 0.5000 1
Se1 Se 0.0000 0.0000 0.2336 1
```

=====

No. 2
# Zr3PdRu

An optimized crystal structure of Zr3PdRu (GGA-PBEsol, Alexandria).

DOS(E_F): 7.53 states/eV per cell
total magnetization: 0.0 μB/cell
energy: -8.29 eV per atom

```
data_Zr3PdRu
_chemical_formula_sum 'Zr3 Pd1 Ru1'
_space_group_name_H-M_alt 'P m -3 m'
_space_group_IT_number 221
_space_group_name_Hall '-P 4 2 3'
_cell_length_a 4.877
_cell_length_b 4.877
_cell_length_c 4.877
_cell_angle_alpha 90.00
_cell_angle_beta 90.00
_cell_angle_gamma 90.00
loop_
_atom_site_label
_atom_site_type_symbol
_atom_site_fract_x
_atom_site_fract_y
_atom_site_fract_z
_atom_site_occupancy
Zr1 Zr 0.000 0.000 0.500 1
Pd1 Pd 0.500 0.500 0.500 1
Ru1 Ru 0.000 0.000 0.000 1
```

=====

No. 3
# Dy3Zn11

An optimized crystal structure of Dy3Zn11 (GGA-PBEsol, Alexandria).

DOS(E_F): 12.97 states/eV per cell
total magnetization: 0.0 μB/cell
energy: -2.66 eV per atom

```
data_Dy3Zn11
_chemical_formula_sum 'Dy6 Zn22'
_space_group_name_H-M_alt 'I m m m'
_space_group_IT_number 71
_space_group_name_Hall '-I 2 2'
_cell_length_a 4.301
_cell_length_b 8.680
_cell_length_c 12.671
_cell_angle_alpha 90.00
_cell_angle_beta 90.00
_cell_angle_gamma 90.00
loop_
_atom_site_label
_atom_site_type_symbol
_atom_site_fract_x
_atom_site_fract_y
_atom_site_fract_z
_atom_site_occupancy
Dy1 Dy 0.000 0.000 0.000 1
Dy2 Dy 0.000 0.000 0.293 1
Zn1 Zn 0.000 0.181 0.500 1
Zn2 Zn 0.000 0.283 0.140 1
Zn3 Zn 0.000 0.360 0.343 1
Zn4 Zn 0.000 0.500 0.000 1
```

=====

No. 4
# CrRe14

An optimized crystal structure of CrRe14 (GGA-PBEsol, Alexandria).

DOS(E_F): 26.15 states/eV per cell
total magnetization: 0.0 μB/cell
energy: -13.05 eV per atom

```
data_CrRe14
_chemical_formula_sum 'Cr2 Re28'
_space_group_name_H-M_alt 'P 42/m n m'
_space_group_IT_number 136
_space_group_name_Hall '-P 4n 2n'
_cell_length_a 9.386
_cell_length_b 9.386
_cell_length_c 4.964
_cell_angle_alpha 90.00
_cell_angle_beta 90.00
_cell_angle_gamma 90.00
loop_
_atom_site_label
_atom_site_type_symbol
_atom_site_fract_x
_atom_site_fract_y
_atom_site_fract_z
_atom_site_occupancy
Cr1 Cr 0.000 0.000 0.000 1
Re1 Re 0.034 0.363 0.500 1
Re2 Re 0.063 0.257 0.000 1
Re3 Re 0.093 0.093 0.500 1
Re4 Re 0.182 0.818 0.251 1
```

=====

No. 5
# CdFe2Se

An optimized crystal structure of CdFe2Se (GGA-PBEsol, Alexandria).

formation energy from raw total energies: 0.469 eV per atom
DOS(E_F): 18.04 states/eV per cell
total magnetization: 20.4 μB/cell
energy: -5.27 eV per atom

```
data_CdFe2Se
_chemical_formula_sum 'Cd4 Fe8 Se4'
_space_group_name_H-M_alt 'F m -3 m'
_space_group_IT_number 225
_space_group_name_Hall '-F 4 2 3'
_cell_length_a 6.190
_cell_length_b 6.190
_cell_length_c 6.190
_cell_angle_alpha 90.00
_cell_angle_beta 90.00
_cell_angle_gamma 90.00
loop_
_atom_site_label
_atom_site_type_symbol
_atom_site_fract_x
_atom_site_fract_y
_atom_site_fract_z
_atom_site_occupancy
Cd1 Cd 0.000 0.000 0.000 1
Fe1 Fe 0.250 0.250 0.250 1
Se1 Se 0.000 0.000 0.500 1
```

=====

No. 6
# Be3Fe4

An optimized crystal structure of Be3Fe4 (GGA-PBEsol, Alexandria).

DOS(E_F): 8.96 states/eV per cell
total magnetization: 4.4 μB/cell
energy: -6.93 eV per atom

```
data_Be3Fe4
_chemical_formula_sum 'Be3 Fe4'
_space_group_name_H-M_alt 'P 6/m m m'
_space_group_IT_number 191
_space_group_name_Hall '-P 6 2'
_cell_length_a 4.1173
_cell_length_b 4.1173
_cell_length_c 4.2538
_cell_angle_alpha 90.00
_cell_angle_beta 90.00
_cell_angle_gamma 120.00
loop_
_atom_site_label
_atom_site_type_symbol
_atom_site_fract_x
_atom_site_fract_y
_atom_site_fract_z
_atom_site_occupancy
Be1 Be 0.0000 0.5000 0.0000 1
Fe1 Fe 0.0000 0.0000 0.2523 1
Fe2 Fe 0.3333 0.6667 0.5000 1
```